Entry 1:
# YGe3Pb

A geometry-optimized YGe3Pb structure (PBE, Alexandria).

CIF file:
```
data_YGe3Pb
_chemical_formula_sum 'Y1 Ge3 Pb1'
_cell_length_a 5.328
_cell_length_b 5.328
_cell_length_c 5.328
_cell_angle_alpha 90.00
_cell_angle_beta 90.00
_cell_angle_gamma 90.00
_symmetry_space_group_name_H-M 'P m -3 m'
_symmetry_Int_Tables_number 221
_symmetry_space_group_name_Hall '-P 4 2 3'
loop_
_atom_site_label
_atom_site_type_symbol
_atom_site_fract_x
_atom_site_fract_y
_atom_site_fract_z
Y1 Y 0.000 0.000 0.000
Ge1 Ge 0.000 0.500 0.500
Pb1 Pb 0.500 0.500 0.500
```

E: -4.061 eV per atom
Relative energy among the computed polymorphs: 212 meV/atom
Energy of formation: 744 meV/atom

---

Entry 2:
# AgOs3

A geometry-optimized AgOs3 structure (PBE, Alexandria).

CIF file:
```
data_AgOs3
_chemical_formula_sum 'Ag3 Os9'
_cell_length_a 2.7490
_cell_length_b 2.7490
_cell_length_c 27.6857
_cell_angle_alpha 90.00
_cell_angle_beta 90.00
_cell_angle_gamma 120.00
_symmetry_space_group_name_H-M 'R -3 m'
_symmetry_Int_Tables_number 166
_symmetry_space_group_name_Hall '-R 3 2"'
loop_
_atom_site_label
_atom_site_type_symbol
_atom_site_fract_x
_atom_site_fract_y
_atom_site_fract_z
Ag1 Ag 0.0000 0.0000 0.0000
Os1 Os 0.0000 0.0000 0.2443
Os2 Os 0.0000 0.0000 0.5000
```

E: -8.790 eV per atom
Relative energy among the computed polymorphs: 74 meV/atom
Energy of formation: 345 meV/atom

---

Entry 3:
# LiMg2Au

A geometry-optimized LiMg2Au structure (PBE, Alexandria).

CIF file:
```
data_LiMg2Au
_chemical_formula_sum 'Li3 Mg6 Au3'
_cell_length_a 3.1517
_cell_length_b 3.1517
_cell_length_c 28.1379
_cell_angle_alpha 90.00
_cell_angle_beta 90.00
_cell_angle_gamma 120.00
_symmetry_space_group_name_H-M 'R 3 m'
_symmetry_Int_Tables_number 160
_symmetry_space_group_name_Hall 'R 3 -2"'
loop_
_atom_site_label
_atom_site_type_symbol
_atom_site_fract_x
_atom_site_fract_y
_atom_site_fract_z
Li1 Li 0.0000 0.0000 0.0000
Mg1 Mg 0.0000 0.0000 0.5208
Mg2 Mg 0.0000 0.0000 0.7561
Au1 Au 0.0000 0.0000 0.2622
```

E: -2.275 eV per atom
Energy of formation: -180 meV/atom

---

Entry 4:
# SrNiPt2

A geometry-optimized SrNiPt2 structure (PBE, Alexandria).

CIF file:
```
data_SrNiPt2
_chemical_formula_sum 'Sr4 Ni4 Pt8'
_cell_length_a 4.895
_cell_length_b 4.895
_cell_length_c 16.598
_cell_angle_alpha 90.00
_cell_angle_beta 90.00
_cell_angle_gamma 90.00
_symmetry_space_group_name_H-M 'I -4 2 d'
_symmetry_Int_Tables_number 122
_symmetry_space_group_name_Hall 'I -4 2bw'
loop_
_atom_site_label
_atom_site_type_symbol
_atom_site_fract_x
_atom_site_fract_y
_atom_site_fract_z
Sr1 Sr 0.000 0.000 0.000
Ni1 Ni 0.000 0.000 0.500
Pt1 Pt 0.055 0.250 0.625
```

E: -5.134 eV per atom
Energy of formation: -247 meV/atom

---

Entry 5:
# Ac3La4Tb

A geometry-optimized Ac3La4Tb structure (PBE, Alexandria).

CIF file:
```
data_Ac3La4Tb
_chemical_formula_sum 'Ac6 La8 Tb2'
_cell_length_a 12.024
_cell_length_b 5.403
_cell_length_c 10.794
_cell_angle_alpha 90.00
_cell_angle_beta 116.70
_cell_angle_gamma 90.00
_symmetry_space_group_name_H-M 'C 1 2/m 1'
_symmetry_Int_Tables_number 12
loop_
_symmetry_equiv_pos_as_xyz
'x,y,z'
'-x,-y,-z'
'-x,y,-z'
'x,-y,z'
'x+1/2,y+1/2,z'
'-x+1/2,-y+1/2,-z'
'-x+1/2,y+1/2,-z'
'x+1/2,-y+1/2,z'
loop_
_atom_site_label
_atom_site_type_symbol
_atom_site_fract_x
_atom_site_fract_y
_atom_site_fract_z
Ac1 Ac 0.000 0.000 0.000
Ac2 Ac 0.003 0.500 0.744
La1 La 0.249 0.000 0.379
La2 La 0.250 0.000 0.870
Tb1 Tb 0.000 0.000 0.500
```

E: -4.553 eV per atom
Energy of formation: 30 meV/atom

---

Entry 6:
# RbTl2MoCl6

A geometry-optimized RbTl2MoCl6 structure (PBE, Alexandria).

CIF file:
```
data_RbTl2MoCl6
_chemical_formula_sum 'Rb6 Tl12 Mo6 Cl36'
_cell_length_a 7.2956
_cell_length_b 7.2956
_cell_length_c 47.4020
_cell_angle_alpha 90.00
_cell_angle_beta 90.00
_cell_angle_gamma 120.00
_symmetry_space_group_name_H-M 'R -3 m'
_symmetry_Int_Tables_number 166
_symmetry_space_group_name_Hall '-R 3 2"'
loop_
_atom_site_label
_atom_site_type_symbol
_atom_site_fract_x
_atom_site_fract_y
_atom_site_fract_z
Rb1 Rb 0.0000 0.0000 0.0851
Tl1 Tl 0.0000 0.0000 0.1840
Tl2 Tl 0.0000 0.0000 0.3504
Mo1 Mo 0.0000 0.0000 0.0000
Mo2 Mo 0.0000 0.0000 0.5000
Cl1 Cl 0.0144 0.5072 0.1965
Cl2 Cl 0.0144 0.5072 0.6367
```

E: -3.919 eV per atom
Formation energy without anion corrections: -1.16 eV/atom

---

Entry 7:
# PbC

A geometry-optimized PbC structure (PBE, Alexandria).

CIF file:
```
data_PbC
_chemical_formula_sum 'Pb8 C8'
_cell_length_a 7.296
_cell_length_b 7.296
_cell_length_c 7.296
_cell_angle_alpha 90.00
_cell_angle_beta 90.00
_cell_angle_gamma 90.00
_symmetry_space_group_name_H-M 'I -4 3 m'
_symmetry_Int_Tables_number 217
_symmetry_space_group_name_Hall 'I -4 2 3'
loop_
_atom_site_label
_atom_site_type_symbol
_atom_site_fract_x
_atom_site_fract_y
_atom_site_fract_z
Pb1 Pb 0.166 0.166 0.834
C1 C 0.157 0.157 0.157
```

E: -4.767 eV per atom
Relative energy among the computed polymorphs: 847 meV/atom
Energy of formation: 1700 meV/atom

---

Entry 8:
# FeIrCl2

A geometry-optimized FeIrCl2 structure (PBE, Alexandria).

CIF file:
```
data_FeIrCl2
_chemical_formula_sum 'Fe3 Ir3 Cl6'
_cell_length_a 3.1506
_cell_length_b 3.1506
_cell_length_c 21.7620
_cell_angle_alpha 90.00
_cell_angle_beta 90.00
_cell_angle_gamma 120.00
_symmetry_space_group_name_H-M 'R -3 m'
_symmetry_Int_Tables_number 166
_symmetry_space_group_name_Hall '-R 3 2"'
loop_
_atom_site_label
_atom_site_type_symbol
_atom_site_fract_x
_atom_site_fract_y
_atom_site_fract_z
Fe1 Fe 0.0000 0.0000 0.0000
Ir1 Ir 0.0000 0.0000 0.5000
Cl1 Cl 0.0000 0.0000 0.3947
```

E: -4.823 eV per atom
Formation energy without anion corrections: 0.43 eV/atom
Relative energy among the computed polymorphs: 503 meV/atom

---

Entry 9:
# AlZnAu2

A geometry-optimized AlZnAu2 structure (PBE, Alexandria).

CIF file:
```
data_AlZnAu2
_chemical_formula_sum 'Al2 Zn2 Au4'
_cell_length_a 9.256
_cell_length_b 3.317
_cell_length_c 4.465
_cell_angle_alpha 90.00
_cell_angle_beta 104.29
_cell_angle_gamma 90.00
_symmetry_space_group_name_H-M 'C 1 m 1'
_symmetry_Int_Tables_number 8
loop_
_symmetry_equiv_pos_as_xyz
'x,y,z'
'x,-y,z'
'x+1/2,y+1/2,z'
'x+1/2,-y+1/2,z'
loop_
_atom_site_label
_atom_site_type_symbol
_atom_site_fract_x
_atom_site_fract_y
_atom_site_fract_z
Al1 Al 0.000 0.000 0.000
Zn1 Zn 0.251 0.500 0.335
Au1 Au 0.261 0.000 0.848
Au2 Au 0.495 0.000 0.492
```

E: -3.167 eV per atom
Energy of formation: -275 meV/atom

---

Entry 10:
# TiAsIrSe2

A geometry-optimized TiAsIrSe2 structure (PBE, Alexandria).

CIF file:
```
data_TiAsIrSe2
_chemical_formula_sum 'Ti1 As1 Ir1 Se2'
_cell_length_a 5.057
_cell_length_b 5.057
_cell_length_c 4.565
_cell_angle_alpha 90.00
_cell_angle_beta 90.00
_cell_angle_gamma 90.00
_symmetry_space_group_name_H-M 'P 4/m m m'
_symmetry_Int_Tables_number 123
_symmetry_space_group_name_Hall '-P 4 2'
loop_
_atom_site_label
_atom_site_type_symbol
_atom_site_fract_x
_atom_site_fract_y
_atom_site_fract_z
Ti1 Ti 0.000 0.000 0.000
As1 As 0.500 0.500 0.000
Ir1 Ir 0.500 0.500 0.500
Se1 Se 0.000 0.500 0.500
```

E: -5.129 eV per atom
Formation energy without anion corrections: 0.55 eV/atom
Relative energy among the computed polymorphs: 0 meV/atom

---

Entry 11:
# Tb2Pd7Pt3

A geometry-optimized Tb2Pd7Pt3 structure (PBE, Alexandria).

CIF file:
```
data_Tb2Pd7Pt3
_chemical_formula_sum 'Tb2 Pd7 Pt3'
_cell_length_a 4.657
_cell_length_b 5.008
_cell_length_c 10.400
_cell_angle_alpha 101.71
_cell_angle_beta 94.27
_cell_angle_gamma 112.56
_symmetry_space_group_name_H-M 'P -1'
_symmetry_Int_Tables_number 2
loop_
_symmetry_equiv_pos_as_xyz
'x,y,z'
'-x,-y,-z'
loop_
_atom_site_label
_atom_site_type_symbol
_atom_site_fract_x
_atom_site_fract_y
_atom_site_fract_z
Tb1 Tb 0.244 0.474 0.258
Pd1 Pd 0.000 0.000 0.000
Pd2 Pd 0.066 0.151 0.758
Pd3 Pd 0.180 0.303 0.517
Pd4 Pd 0.453 0.924 0.867
Pt1 Pt 0.430 0.908 0.609
Pt2 Pt 0.500 0.500 0.000
```

E: -5.798 eV per atom
Energy of formation: -487 meV/atom

---

Entry 12:
# TbHo6Tm6

A geometry-optimized TbHo6Tm6 structure (PBE, Alexandria).

CIF file:
```
data_TbHo6Tm6
_chemical_formula_sum 'Tb1 Ho6 Tm6'
_cell_length_a 6.497
_cell_length_b 10.860
_cell_length_c 6.499
_cell_angle_alpha 90.00
_cell_angle_beta 115.38
_cell_angle_gamma 90.00
_symmetry_space_group_name_H-M 'P 1 2/m 1'
_symmetry_Int_Tables_number 10
loop_
_symmetry_equiv_pos_as_xyz
'x,y,z'
'-x,-y,-z'
'-x,y,-z'
'x,-y,z'
loop_
_atom_site_label
_atom_site_type_symbol
_atom_site_fract_x
_atom_site_fract_y
_atom_site_fract_z
Tb1 Tb 0.000 0.000 0.000
Ho1 Ho 0.000 0.333 0.000
Ho2 Ho 0.263 0.500 0.738
Ho3 Ho 0.354 0.000 0.642
Tm1 Tm 0.000 0.226 0.500
Tm2 Tm 0.500 0.225 0.000
Tm3 Tm 0.500 0.302 0.500
```

E: -4.307 eV per atom
Energy of formation: 226 meV/atom

---

Question: E of number 12 (TbHo6Tm6)?
Answer: -4.307 eV per atom

---

Question: Which formula does entry 11 have?
Answer: Tb2Pd7Pt3

---

Copy entry 10 word for word.
# TiAsIrSe2

A geometry-optimized TiAsIrSe2 structure (PBE, Alexandria).

CIF file:
```
data_TiAsIrSe2
_chemical_formula_sum 'Ti1 As1 Ir1 Se2'
_cell_length_a 5.057
_cell_length_b 5.057
_cell_length_c 4.565
_cell_angle_alpha 90.00
_cell_angle_beta 90.00
_cell_angle_gamma 90.00
_symmetry_space_group_name_H-M 'P 4/m m m'
_symmetry_Int_Tables_number 123
_symmetry_space_group_name_Hall '-P 4 2'
loop_
_atom_site_label
_atom_site_type_symbol
_atom_site_fract_x
_atom_site_fract_y
_atom_site_fract_z
Ti1 Ti 0.000 0.000 0.000
As1 As 0.500 0.500 0.000
Ir1 Ir 0.500 0.500 0.500
Se1 Se 0.000 0.500 0.500
```

E: -5.129 eV per atom
Formation energy without anion corrections: 0.55 eV/atom
Relative energy among the computed polymorphs: 0 meV/atom

---

Question: Look up the E of the fourth one.
Answer: -5.134 eV per atom